# CrNiW meta-GGA SCAN PBEsol geometry
# calculated total energy: -34.3338 eV per atom
# ΔE to the lowest computed polymorph: 254 meV per atom
# D(E_F): 4.2 states/eV per cell
data_CrNiW
_space_group_name_H-M_alt 'P 1'
_space_group_IT_number 1
_cell_length_a 2.622
_cell_length_b 2.622
_cell_length_c 6.452
_cell_angle_alpha 90.00
_cell_angle_beta 90.00
_cell_angle_gamma 120.00
loop_
_space_group_symop_operation_xyz
'x,y,z'
loop_
_atom_site_label
_atom_site_fract_x
_atom_site_fract_y
_atom_site_fract_z
_atom_site_occupancy
W1 0.667 0.333 0.340 1
Ni1 0.333 0.667 0.680 1
Cr1 0.000 0.000 0.981 1